# Rb2LiVF6, relaxed, DFT GGA+U
# SG: Fm-3m
# DFT total energy (eV for the cell shown): -50.9
data_Rb2LiVF6
_chemical_formula_sum 'Rb2 Li1 V1 F6'
_cell_length_a 5.913
_cell_length_b 5.913
_cell_length_c 5.913
_cell_angle_alpha 60.00
_cell_angle_beta 60.00
_cell_angle_gamma 60.00
_symmetry_space_group_name_H-M 'P 1'
_symmetry_Int_Tables_number 1
loop_
_symmetry_equiv_pos_as_xyz
'x,y,z'
loop_
_atom_site_label
_atom_site_fract_x
_atom_site_fract_y
_atom_site_fract_z
F1 0.262 0.738 0.738
F2 0.738 0.262 0.738
F3 0.262 0.738 0.262
F4 0.262 0.262 0.738
F5 0.738 0.738 0.262
F6 0.738 0.262 0.262
Li1 0.000 0.000 0.000
Rb1 0.250 0.250 0.250
Rb2 0.750 0.750 0.750
V1 0.500 0.500 0.500